The following is a PBE calculation of Dy6HgRu2 after structural relaxation, from Alexandria.

```
data_Dy6HgRu2
_cell_length_a 10.002
_cell_length_b 5.050
_cell_length_c 9.255
_cell_angle_alpha 90.00
_cell_angle_beta 100.68
_cell_angle_gamma 90.00
_space_group_name_H-M_alt 'C 1 2/m 1'
_space_group_IT_number 12
_space_group_name_Hall '-C 2y'
loop_
_atom_site_label
_atom_site_type_symbol
_atom_site_fract_x
_atom_site_fract_y
_atom_site_fract_z
Dy1 Dy 0.037 0.000 0.338
Dy2 Dy 0.160 0.500 0.886
Dy3 Dy 0.218 0.500 0.343
Hg1 Hg 0.000 0.000 0.000
Ru1 Ru 0.112 0.500 0.599
```

Computed properties:
- E above lowest polymorph (meV per atom) = 105
- electronic total energy (eV/atom) = -5.421
- theoretical density (g cm⁻³) = 9.96